Model 1:
A plane-wave DFT calculation with GGA-PBE was carried out for a relaxed structure of Sm2Y12Er5.

The structure belongs to space group C2/m (No. 12); the cell edges are 17.4315, 6.8140 and 11.2700 Å and the angles 90.00°, 106.07° and 90.00°. The asymmetric unit holds Sm at (0.0000, 0.2480, 0.0000), Y at (0.0520, 0.0000, 0.2729), Y at (0.0809, 0.5000, 0.4251), Y at (0.1124, 0.2605, 0.7517), Y at (0.1931, 0.2579, 0.2260), Er at (0.0000, 0.0000, 0.5000), Er at (0.2081, 0.0000, 0.5098) and Er at (0.2286, 0.0000, 0.9939).

***

Model 2:
A plane-wave DFT calculation with GGA-PBE was carried out for a relaxed structure of Sm2Y12Er5.

The structure belongs to space group C2/m (No. 12); the cell edges are 15.6621, 9.2959 and 8.5539 Å and the angles 90.00°, 91.16° and 90.00°. The asymmetric unit holds Sm at (0.0000, 0.1791, 0.0000), Y at (0.0579, 0.0000, 0.3297), Y at (0.0891, 0.5000, 0.8793), Y at (0.1274, 0.1922, 0.6560), Y at (0.1546, 0.3198, 0.2405), Er at (0.0000, 0.5000, 0.5000), Er at (0.1982, 0.0000, 0.0120) and Er at (0.2314, 0.5000, 0.5750).

***

Result of the stability comparison: model 2 is the most stable of them.

***

Model 1:
A plane-wave DFT calculation with GGA-PBE was carried out for a relaxed structure of Sm2Y2Er.

The structure belongs to space group P4/mbm (No. 127); the cell edges are 9.2776, 9.2776 and 3.8097 Å and the angles 90.00°, 90.00° and 90.00°. The asymmetric unit holds Sm at (0.1304, 0.3696, 0.0000), Y at (0.1691, 0.6691, 0.5000) and Er at (0.0000, 0.0000, 0.0000).

***

Model 2:
A plane-wave DFT calculation with GGA-PBE was carried out for a relaxed structure of Sm2Y2Er.

The structure belongs to space group Imma (No. 74); the cell edges are 3.6432, 5.7230 and 31.5960 Å and the angles 90.00°, 90.00° and 90.00°. The asymmetric unit holds Sm at (0.0000, 0.2500, 0.0215), Sm at (0.0000, 0.2500, 0.1202), Y at (0.0000, 0.2500, 0.2919), Y at (0.0000, 0.2500, 0.8059) and Er at (0.0000, 0.2500, 0.5797).

***

Result of the stability comparison: model 1 is the most stable of them.

***

Model 1:
A plane-wave DFT calculation with GGA-PBE was carried out for a relaxed structure of Sm5Y12Er2.

The structure belongs to space group P-1 (No. 2); the cell edges are 6.1964, 9.4733 and 11.3051 Å and the angles 90.05°, 100.52° and 109.05°. The asymmetric unit holds Sm at (0.0000, 0.0000, 0.0000), Sm at (0.2620, 0.8403, 0.5262), Sm at (0.4725, 0.3163, 0.9476), Y at (0.0531, 0.3687, 0.1062), Y at (0.1052, 0.7356, 0.2114), Y at (0.1577, 0.1064, 0.3167), Y at (0.3176, 0.2119, 0.6309), Y at (0.3684, 0.5787, 0.7354), Y at (0.4215, 0.9476, 0.8419) and Er at (0.2103, 0.4740, 0.4221).

***

Model 2:
A plane-wave DFT calculation with GGA-PBE was carried out for a relaxed structure of Sm5Y12Er2.

The structure belongs to space group C2/m (No. 12); the cell edges are 15.5806, 9.3593 and 8.6729 Å and the angles 90.00°, 91.99° and 90.00°. The asymmetric unit holds Sm at (0.0000, 0.0000, 0.0000), Sm at (0.2053, 0.5000, 0.5200), Sm at (0.2301, 0.0000, 0.0712), Y at (0.0572, 0.5000, 0.8337), Y at (0.0742, 0.0000, 0.3740), Y at (0.1291, 0.3093, 0.1684), Y at (0.1482, 0.1792, 0.7374) and Er at (0.0000, 0.3279, 0.5000).

***

Result of the stability comparison: model 1 is the most stable of them.

***

Model 1:
A plane-wave DFT calculation with GGA-PBE was carried out for a relaxed structure of Sm4Y2Er5.

The structure belongs to space group C2/m (No. 12); the cell edges are 19.1721, 5.6427 and 6.5562 Å and the angles 90.00°, 91.36° and 90.00°. The asymmetric unit holds Sm at (0.0212, 0.0000, 0.2841), Sm at (0.1955, 0.5000, 0.0734), Y at (0.0988, 0.5000, 0.5528), Er at (0.0000, 0.5000, 0.0000), Er at (0.1302, 0.0000, 0.8922) and Er at (0.2086, 0.0000, 0.4016).

***

Model 2:
A plane-wave DFT calculation with GGA-PBE was carried out for a relaxed structure of Sm4Y2Er5.

The structure belongs to space group C2/m (No. 12); the cell edges are 23.8293, 3.4744 and 8.7147 Å and the angles 90.00°, 97.45° and 90.00°. The asymmetric unit holds Sm at (0.0463, 0.0000, 0.3575), Sm at (0.1782, 0.5000, 0.4694), Y at (0.0904, 0.0000, 0.7402), Er at (0.0000, 0.5000, 0.0000), Er at (0.1413, 0.0000, 0.1153) and Er at (0.2322, 0.0000, 0.8278).

***

Result of the stability comparison: model 1 is the most stable of them.

***

Model 1:
A plane-wave DFT calculation with GGA-PBE was carried out for a relaxed structure of SmY3Er4.

The structure belongs to space group C2/m (No. 12); the cell edges are 23.4824, 3.4573 and 6.6549 Å and the angles 90.00°, 106.44° and 90.00°. The asymmetric unit holds Sm at (0.0000, 0.0000, 0.0000), Y at (0.0000, 0.5000, 0.5000), Y at (0.1269, 0.5000, 0.3726), Er at (0.1257, 0.5000, 0.8826) and Er at (0.2396, 0.0000, 0.2344).

***

Model 2:
A plane-wave DFT calculation with GGA-PBE was carried out for a relaxed structure of SmY3Er4.

The structure belongs to space group Pmn2_1 (No. 31); the cell edges are 11.2316, 7.2647 and 6.2707 Å and the angles 90.00°, 90.00° and 90.00°. The asymmetric unit holds Sm at (0.0000, 0.1277, 0.0000), Y at (0.0000, 0.8731, 0.4992), Y at (0.2503, 0.1273, 0.3360), Er at (0.0000, 0.3772, 0.5036), Er at (0.0000, 0.6222, 0.0030) and Er at (0.2494, 0.6228, 0.3346).

***

Result of the stability comparison: model 2 is the most stable of them.

***

Model 1:
A plane-wave DFT calculation with GGA-PBE was carried out for a relaxed structure of Sm2Y6Er.

The structure belongs to space group Ibam (No. 72); the cell edges are 9.6893, 17.3167 and 6.9319 Å and the angles 90.00°, 90.00° and 90.00°. The asymmetric unit holds Sm at (0.0000, 0.1674, 0.2500), Y at (0.1649, 0.3235, 0.0000), Y at (0.1688, 0.0124, 0.5000), Y at (0.1708, 0.3457, 0.5000) and Er at (0.0000, 0.5000, 0.2500).

***

Model 2:
A plane-wave DFT calculation with GGA-PBE was carried out for a relaxed structure of Sm2Y6Er.

The structure belongs to space group C2/c (No. 15); the cell edges are 12.8621, 14.3508 and 6.5755 Å and the angles 90.00°, 103.96° and 90.00°. The asymmetric unit holds Sm at (0.1406, 0.0238, 0.3712), Y at (0.0369, 0.1873, 0.0055), Y at (0.1340, 0.4118, 0.8111), Y at (0.2401, 0.1989, 0.7263) and Er at (0.0000, 0.3822, 0.2500).

***

Result of the stability comparison: model 1 is the most stable of them.